Record 1
Computed, not measured: BaScF2 after structural relaxation at the PBE-GGA level of DFT.

Results
Theoretical density   3.71 g cm⁻³
E_form (uncorrected)   -2.607 eV per atom
Polymorph energy (0 for the lowest one)   0.0 meV per atom
VASP energy   -5.61 eV/atom
Total moment   0.15 μB/atom

CIF file:
```
data_BaScF2
_chemical_formula_sum 'Ba3 Sc3 F6'
_cell_length_a 4.3536
_cell_length_b 4.3536
_cell_length_c 18.0403
_cell_angle_alpha 90.00
_cell_angle_beta 90.00
_cell_angle_gamma 120.00
_space_group_name_H-M_alt 'R -3 m'
_space_group_IT_number 166
_space_group_name_Hall '-R 3 2"'
loop_
_atom_site_label
_atom_site_fract_x
_atom_site_fract_y
_atom_site_fract_z
Ba1 0.0000 0.0000 0.0000
Sc1 0.0000 0.0000 0.5000
F1 0.0000 0.0000 0.3862
```

***

Record 2
Computed, not measured: Dy5Te5S2 after structural relaxation at the PBE-GGA level of DFT.

Results
Theoretical density   7.18 g cm⁻³
E_form (uncorrected)   -1.557 eV per atom
VASP energy   -5.47 eV/atom
Total moment   0.00 μB/atom

CIF file:
```
data_Dy5Te5S2
_chemical_formula_sum 'Dy10 Te10 S4'
_cell_length_a 14.007
_cell_length_b 4.175
_cell_length_c 12.455
_cell_angle_alpha 90.00
_cell_angle_beta 105.83
_cell_angle_gamma 90.00
_space_group_name_H-M_alt 'C 1 2/m 1'
_space_group_IT_number 12
loop_
_space_group_symop_operation_xyz
'x,y,z'
'-x,-y,-z'
'-x,y,-z'
'x,-y,z'
'x+1/2,y+1/2,z'
'-x+1/2,-y+1/2,-z'
'-x+1/2,y+1/2,-z'
'x+1/2,-y+1/2,z'
loop_
_atom_site_label
_atom_site_fract_x
_atom_site_fract_y
_atom_site_fract_z
Dy1 0.000 0.000 0.000
Dy2 0.105 0.000 0.398
Dy3 0.176 0.500 0.802
Te1 0.000 0.500 0.500
Te2 0.165 0.500 0.054
Te3 0.248 0.000 0.644
S1 0.040 0.000 0.794
```

***

Record 3
Computed, not measured: SnCl2O after structural relaxation at the PBE-GGA level of DFT.

Results
Theoretical density   3.79 g cm⁻³
E_form (uncorrected)   0.436 eV per atom
Polymorph energy (0 for the lowest one)   426.9 meV per atom
VASP energy   -2.73 eV/atom
Total moment   0.65 μB/atom

CIF file:
```
data_SnCl2O
_chemical_formula_sum 'Sn3 Cl6 O3'
_cell_length_a 3.5121
_cell_length_b 3.5121
_cell_length_c 25.3163
_cell_angle_alpha 90.00
_cell_angle_beta 90.00
_cell_angle_gamma 120.00
_space_group_name_H-M_alt 'R -3 m'
_space_group_IT_number 166
_space_group_name_Hall '-R 3 2"'
loop_
_atom_site_label
_atom_site_fract_x
_atom_site_fract_y
_atom_site_fract_z
Sn1 0.0000 0.0000 0.0000
Cl1 0.0000 0.0000 0.1016
O1 0.0000 0.0000 0.5000
```